*i*
A relaxed Rb3Sb crystal, computed with GGA-PBE.

Geometry as POSCAR:
```
Rb3Sb
1.0
5.734 0.000 0.000
0.000 5.736 0.000
0.000 0.000 5.737
Rb Sb
3 1
Direct
0.000 0.000 0.000
0.000 0.500 0.499
0.500 0.500 0.998
0.500 0.000 0.498
```

total magnetization	0.00	μB per formula unit
density	3.3	g/cm³
calculated volume	189	Å³ per cell
D(E_F)	2.7	states/eV/cell


*ii*
A relaxed Rb3Sb crystal, computed with GGA-PBE.

Geometry as POSCAR:
```
Rb3Sb
1.0
6.408 0.000 0.000
-3.204 5.549 0.000
0.000 0.000 11.354
Rb Sb
6 2
Direct
0.000 0.000 0.250
0.000 0.000 0.750
0.333 0.667 0.081
0.333 0.667 0.419
0.667 0.333 0.581
0.667 0.333 0.919
0.333 0.667 0.750
0.667 0.333 0.250
```

total magnetization	0.00	μB per formula unit
density	3.1	g/cm³
calculated volume	404	Å³ per cell
D(E_F)	9.3	states/eV/cell


The most stable of them is *ii*.


*i*
A relaxed RbSb crystal, computed with GGA-PBE.

Geometry as POSCAR:
```
RbSb
1.0
22.067 0.000 0.000
0.000 6.498 0.000
0.000 0.000 4.124
Rb Sb
6 6
Direct
0.000 0.109 0.000
0.140 0.617 0.998
0.360 0.383 0.498
0.500 0.891 0.500
0.640 0.383 0.498
0.860 0.617 0.998
0.000 0.607 0.499
0.226 0.120 0.991
0.274 0.880 0.491
0.500 0.393 0.999
0.726 0.880 0.491
0.774 0.120 0.991
```

total magnetization	0.06	μB per formula unit
density	3.5	g/cm³
calculated volume	591	Å³ per cell
D(E_F)	15.3	states/eV/cell


*ii*
A relaxed RbSb crystal, computed with GGA-PBE.

Geometry as POSCAR:
```
RbSb
1.0
8.488 0.000 0.000
0.000 8.488 0.000
0.000 0.000 8.488
Rb Sb
4 4
Direct
0.000 0.000 0.000
0.000 0.500 0.500
0.500 0.000 0.500
0.500 0.500 0.000
0.250 0.250 0.250
0.250 0.750 0.750
0.750 0.250 0.750
0.750 0.750 0.250
```

total magnetization	2.00	μB per formula unit
density	2.3	g/cm³
calculated volume	612	Å³ per cell
D(E_F)	6.5	states/eV/cell


The most stable of them is *i*.